SrSiOs2 after structural relaxation, computed with PBE.

a = 2.892 Å, b = 3.696 Å, c = 7.090 Å
α = 90.00°, β = 90.00°, γ = 90.00°
Fractional positions:
Sr: 0.000 0.000 0.000
Si: 0.500 0.500 0.691
Os: 0.000 0.000 0.504
Os: 0.500 0.500 0.345

Calculated values
**Uncorrected formation energy**: 267 meV/atom
**Size of the total moment**: 0.000 μB per atom